# 1
# BRh (PBE, relaxed)
data_BRh
_space_group_name_H-M_alt 'P m m n'
_space_group_IT_number 59
_cell_length_a 4.344
_cell_length_b 9.066
_cell_length_c 3.326
_cell_angle_alpha 90.00
_cell_angle_beta 90.00
_cell_angle_gamma 90.00
loop_
_space_group_symop_operation_xyz
'x,y,z'
'-x,-y,-z'
'-x+1/2,-y+1/2,z'
'x+1/2,y+1/2,-z'
'x+1/2,-y,-z'
'-x+1/2,y,z'
'-x,y+1/2,-z'
'x,-y+1/2,z'
loop_
_atom_site_label
_atom_site_fract_x
_atom_site_fract_y
_atom_site_fract_z
B1 0.250 0.079 0.246
B2 0.250 0.750 0.271
Rh1 0.250 0.250 0.640
Rh2 0.250 0.587 0.815
# * crystal system: orthorhombic
# * raw total energy: -84.81 eV/cell

***

# 2
# ZnCrOs2 (PBE, relaxed)
data_ZnCrOs2
_space_group_name_H-M_alt 'F -4 3 m'
_space_group_IT_number 216
_space_group_name_Hall 'F -4 2 3'
_cell_length_a 6.048
_cell_length_b 6.048
_cell_length_c 6.048
_cell_angle_alpha 90.00
_cell_angle_beta 90.00
_cell_angle_gamma 90.00
loop_
_atom_site_label
_atom_site_fract_x
_atom_site_fract_y
_atom_site_fract_z
Zn1 0.000 0.000 0.000
Cr1 0.250 0.250 0.750
Os1 0.000 0.000 0.500
Os2 0.250 0.250 0.250
# * crystal system: cubic
# * raw total energy: -127.22 eV/cell

***

# 3
# ErTlHg (PBE, relaxed)
data_ErTlHg
_space_group_name_H-M_alt 'P 1 2/m 1'
_space_group_IT_number 10
_cell_length_a 5.029
_cell_length_b 3.573
_cell_length_c 5.263
_cell_angle_alpha 90.00
_cell_angle_beta 90.19
_cell_angle_gamma 90.00
loop_
_space_group_symop_operation_xyz
'x,y,z'
'-x,-y,-z'
'-x,y,-z'
'x,-y,z'
loop_
_atom_site_label
_atom_site_fract_x
_atom_site_fract_y
_atom_site_fract_z
Er1 0.000 0.000 0.000
Tl1 0.000 0.500 0.500
Hg1 0.500 0.500 0.000
# * crystal system: monoclinic
# * excess energy over the best structure of this formula in the dataset: 15.0 kJ/mol of atoms

***

# 4
# BaCdRu2 (PBE, relaxed)
data_BaCdRu2
_space_group_name_H-M_alt 'I m m 2'
_space_group_IT_number 44
_cell_length_a 3.168
_cell_length_b 5.255
_cell_length_c 10.788
_cell_angle_alpha 90.00
_cell_angle_beta 90.00
_cell_angle_gamma 90.00
loop_
_space_group_symop_operation_xyz
'x,y,z'
'-x,-y,z'
'-x,y,z'
'x,-y,z'
'x+1/2,y+1/2,z+1/2'
'-x+1/2,-y+1/2,z+1/2'
'-x+1/2,y+1/2,z+1/2'
'x+1/2,-y+1/2,z+1/2'
loop_
_atom_site_label
_atom_site_fract_x
_atom_site_fract_y
_atom_site_fract_z
Ba1 0.000 0.000 0.000
Cd1 0.000 0.500 0.796
Ru1 0.000 0.000 0.538
Ru2 0.000 0.500 0.219
# * crystal system: orthorhombic
# * raw total energy: -37.54 eV/cell

***

# 5
# Er2CoCl (PBE, relaxed)
data_Er2CoCl
_space_group_name_H-M_alt 'R 3 m'
_space_group_IT_number 160
_space_group_name_Hall 'R 3 -2"'
_cell_length_a 3.7732
_cell_length_b 3.7732
_cell_length_c 22.2414
_cell_angle_alpha 90.00
_cell_angle_beta 90.00
_cell_angle_gamma 120.00
loop_
_atom_site_label
_atom_site_fract_x
_atom_site_fract_y
_atom_site_fract_z
Er1 0.0000 0.0000 0.0000
Er2 0.0000 0.0000 0.2036
Co1 0.0000 0.0000 0.6011
Cl1 0.0000 0.0000 0.4294
# * crystal system: trigonal
# * formation energy (no corrections): -0.822 eV per atom
# * excess energy over the best structure of this formula in the dataset: 2.4 kJ/mol of atoms

***

# 6
# NaIrO (PBE, relaxed)
data_NaIrO
_space_group_name_H-M_alt 'P m c 21'
_space_group_IT_number 26
_cell_length_a 2.798
_cell_length_b 5.455
_cell_length_c 5.315
_cell_angle_alpha 90.00
_cell_angle_beta 90.00
_cell_angle_gamma 90.00
loop_
_space_group_symop_operation_xyz
'x,y,z'
'-x,-y,z+1/2'
'-x,y,z'
'x,-y,z+1/2'
loop_
_atom_site_label
_atom_site_fract_x
_atom_site_fract_y
_atom_site_fract_z
Na1 0.000 0.071 0.000
Ir1 0.500 0.464 0.392
O1 0.500 0.228 0.672
# * crystal system: orthorhombic
# * formation energy (no corrections): -0.564 eV per atom
# * excess energy over the best structure of this formula in the dataset: 16.0 kJ/mol of atoms

***

# 7
# NaGd2Ir (PBE, relaxed)
data_NaGd2Ir
_space_group_name_H-M_alt 'R -3 m'
_space_group_IT_number 166
_space_group_name_Hall '-R 3 2"'
_cell_length_a 4.0577
_cell_length_b 4.0577
_cell_length_c 31.2616
_cell_angle_alpha 90.00
_cell_angle_beta 90.00
_cell_angle_gamma 120.00
loop_
_atom_site_label
_atom_site_fract_x
_atom_site_fract_y
_atom_site_fract_z
Na1 0.0000 0.0000 0.0000
Gd1 0.0000 0.0000 0.1196
Ir1 0.0000 0.0000 0.5000
# * crystal system: trigonal
# * excess energy over the best structure of this formula in the dataset: 4.0 kJ/mol of atoms

***

# 8
# Y2ScMn (PBE, relaxed)
data_Y2ScMn
_space_group_name_H-M_alt 'P 4/m m m'
_space_group_IT_number 123
_space_group_name_Hall '-P 4 2'
_cell_length_a 4.943
_cell_length_b 4.943
_cell_length_c 4.131
_cell_angle_alpha 90.00
_cell_angle_beta 90.00
_cell_angle_gamma 90.00
loop_
_atom_site_label
_atom_site_fract_x
_atom_site_fract_y
_atom_site_fract_z
Y1 0.000 0.500 0.000
Sc1 0.000 0.000 0.500
Mn1 0.500 0.500 0.500
# * crystal system: tetragonal
# * excess energy over the best structure of this formula in the dataset: 7.2 kJ/mol of atoms

***

Number 1: magnetic moment 0.0 μB per cell. Number 2: magnetic moment 3.4 μB per cell. Number 3: magnetic moment 0.0 μB per cell. Number 4: magnetic moment 3.6 μB per cell. Number 5: magnetic moment 0.0 μB per cell. Number 6: magnetic moment 0.0 μB per cell. Number 7: magnetic moment 43.2 μB per cell. Number 8: magnetic moment 2.7 μB per cell.